Record 1
This record from the Alexandria database describes a relaxed Nd6TeRh2Se3 crystal. The functional is PBE.

Unit cell a=4.1723 b=8.8245 c=9.6137 alpha=105.06 beta=102.53 gamma=90.00
Last column: nearest neighbours and their distance in Å.
Element x y z (fractional)
1 Nd 0.3269 0.4233 0.6537  3 Rh 2.84-2.94, 1 Se 3.14
2 Nd 0.6731 0.5767 0.3463  3 Rh 2.84-2.94, 1 Se 3.14
3 Rh 0.8300 0.6601 0.6600  6 Nd 2.84-2.94
4 Te 0.5000 0.0000 0.0000  6 Nd 3.14-3.19
5 Se 0.5000 0.5000 0.0000  6 Nd 2.95-3.14
6 Nd 0.9888 0.7289 0.9776  1 Rh 2.88, 3 Se 2.95-3.08, 2 Te 3.14
7 Nd 0.3240 0.8853 0.6479  2 Rh 2.90, 3 Se 3.02-3.14, 1 Te 3.19
8 Se 0.1589 0.8407 0.3177  6 Nd 3.02-3.19
9 Nd 0.6760 0.1147 0.3521  2 Rh 2.90, 3 Se 3.02-3.14, 1 Te 3.19
10 Se 0.8411 0.1593 0.6823  6 Nd 3.02-3.19
11 Rh 0.1700 0.3399 0.3400  6 Nd 2.84-2.94
12 Nd 0.0112 0.2711 0.0224  1 Rh 2.88, 3 Se 2.95-3.08, 2 Te 3.14

Values from the calculation:
magnetic moment: 0.00 μB/atom
E: -0.44774 Ry/atom
formation energy from raw total energies: -1.35 eV per atom
calculated volume: 27.76 A^3/atom
Fermi-level density of states: 4.88 states/eV/f.u.



Record 2
This record from the Alexandria database describes a relaxed Nd3Si2Rh5 crystal. The functional is PBE.

Unit cell a=3.6178 b=10.2060 c=10.2060 alpha=90.00 beta=90.00 gamma=90.00
Last column: nearest neighbours and their distance in Å.
Element x y z (fractional)
1 Rh 0.5000 0.4295 0.2721  2 Si 2.44
2 Rh 0.5000 0.9295 0.2279  2 Si 2.44
3 Nd 0.0000 0.0000 0.0000  8 Rh 3.03
4 Nd 0.0000 0.1747 0.3253  3 Si 2.96-3.06, 10 Rh 3.10-3.24
5 Si 0.0000 0.8798 0.3798  6 Rh 2.44-2.51
6 Nd 0.0000 0.6747 0.1747  3 Si 2.96-3.06, 10 Rh 3.10-3.24
7 Nd 0.0000 0.5000 0.5000  8 Rh 3.03
8 Si 0.0000 0.6202 0.8798  6 Rh 2.44-2.51
9 Si 0.0000 0.3798 0.1202  6 Rh 2.44-2.51
10 Rh 0.5000 0.7721 0.9295  2 Si 2.44
11 Si 0.0000 0.1202 0.6202  6 Rh 2.44-2.51
12 Rh 0.5000 0.0000 0.5000  4 Si 2.51
13 Rh 0.5000 0.7279 0.4295  2 Si 2.44
14 Rh 0.5000 0.2279 0.0705  2 Si 2.44
15 Rh 0.5000 0.5705 0.7279  2 Si 2.44
16 Nd 0.0000 0.3253 0.8253  3 Si 2.96-3.06, 10 Rh 3.10-3.24
17 Rh 0.5000 0.2721 0.5705  2 Si 2.44
18 Rh 0.5000 0.5000 0.0000  4 Si 2.51
19 Rh 0.5000 0.0705 0.7721  2 Si 2.44
20 Nd 0.0000 0.8253 0.6747  3 Si 2.96-3.06, 10 Rh 3.10-3.24

Values from the calculation:
magnetic moment: 0.00 μB/atom
E: -0.51856 Ry/atom
formation energy from raw total energies: -0.86 eV per atom
calculated volume: 18.84 A^3/atom
Fermi-level density of states: 5.06 states/eV/f.u.



Record 3
This record from the Alexandria database describes a relaxed Nd3Si2Rh crystal. The functional is PBE.

Unit cell a=4.2883 b=11.5999 c=11.9295 alpha=90.00 beta=90.00 gamma=90.00
Last column: nearest neighbours and their distance in Å.
Element x y z (fractional)
1 Nd 0.7500 0.3018 0.7858  2 Rh 2.93, 4 Si 3.12-3.14
2 Si 0.7500 0.3144 0.5235  2 Rh 2.57
3 Nd 0.7500 0.6250 0.9434  1 Rh 2.93, 4 Si 3.09-3.10
4 Si 0.2500 0.4959 0.8050  1 Rh 2.57
5 Rh 0.7500 0.6342 0.3690  3 Si 2.57
6 Rh 0.7500 0.8658 0.8690  3 Si 2.57
7 Si 0.7500 0.5041 0.1950  1 Rh 2.57
8 Nd 0.2500 0.3750 0.0566  1 Rh 2.93, 4 Si 3.09-3.10
9 Nd 0.2500 0.6982 0.2142  2 Rh 2.93, 4 Si 3.12-3.14
10 Si 0.7500 0.9959 0.6950  1 Rh 2.57
11 Si 0.2500 0.0041 0.3050  1 Rh 2.57
12 Nd 0.7500 0.9432 0.1196  5 Si 3.04-3.16, 3 Rh 3.09-3.12
13 Nd 0.2500 0.1250 0.5566  1 Rh 2.93, 4 Si 3.09-3.10
14 Nd 0.2500 0.4432 0.3804  5 Si 3.04-3.16, 3 Rh 3.09-3.12
15 Si 0.7500 0.1856 0.0235  2 Rh 2.57
16 Nd 0.7500 0.1982 0.2858  2 Rh 2.93, 4 Si 3.12-3.14
17 Si 0.2500 0.8144 0.9765  2 Rh 2.57
18 Nd 0.7500 0.5568 0.6196  5 Si 3.04-3.16, 3 Rh 3.09-3.12
19 Nd 0.2500 0.0568 0.8804  5 Si 3.04-3.16, 3 Rh 3.09-3.12
20 Si 0.2500 0.6856 0.4765  2 Rh 2.57
21 Rh 0.2500 0.3658 0.6310  3 Si 2.57
22 Nd 0.2500 0.8018 0.7142  2 Rh 2.93, 4 Si 3.12-3.14
23 Nd 0.7500 0.8750 0.4434  1 Rh 2.93, 4 Si 3.09-3.10
24 Rh 0.2500 0.1342 0.1310  3 Si 2.57

Values from the calculation:
magnetic moment: 0.00 μB/atom
E: -0.45389 Ry/atom
formation energy from raw total energies: -0.76 eV per atom
calculated volume: 24.73 A^3/atom
Fermi-level density of states: 3.30 states/eV/f.u.



Record 4
This record from the Alexandria database describes a relaxed Nd3Si4Rh2 crystal. The functional is PBE.

Unit cell a=4.0318 b=6.0168 c=9.4787 alpha=60.95 beta=77.72 gamma=70.42
Last column: nearest neighbours and their distance in Å.
Element x y z (fractional)
1 Nd 0.3327 0.6709 0.6636  8 Si 3.13-3.32, 4 Rh 3.21-3.24
2 Si 0.2763 0.3826 0.0649  1 Rh 2.40, 2 Si 2.42
3 Rh 0.3931 0.9377 0.2761  3 Si 2.35-2.40
4 Si 0.7237 0.6174 0.9351  1 Rh 2.40, 2 Si 2.42
5 Nd 0.6673 0.3291 0.3364  8 Si 3.13-3.32, 4 Rh 3.21-3.24
6 Si 0.0505 0.2846 0.6144  2 Rh 2.35, 1 Si 2.41
7 Rh 0.6069 0.0623 0.7239  3 Si 2.35-2.40
8 Si 0.9495 0.7154 0.3856  2 Rh 2.35, 1 Si 2.41
9 Nd 0.0000 0.0000 0.0000  4 Rh 3.15, 8 Si 3.19-3.27

Values from the calculation:
magnetic moment: 0.00 μB/atom
E: -0.47868 Ry/atom
formation energy from raw total energies: -0.88 eV per atom
calculated volume: 21.01 A^3/atom
energy above the lowest structure with this stoichiometry: 11.3 meV per atom
Fermi-level density of states: 5.84 states/eV/f.u.



Record 5
This record from the Alexandria database describes a relaxed Nd3Si8Rh3 crystal. The functional is PBE.

Unit cell a=4.2011 b=7.9468 c=7.9468 alpha=75.81 beta=74.67 gamma=74.67
Last column: nearest neighbours and their distance in Å.
Element x y z (fractional)
1 Si 0.6243 0.6638 0.0876  3 Rh 2.54-2.56, 3 Si 2.60-2.62
2 Si 0.8349 0.8010 0.5292  1 Rh 2.40, 4 Si 2.60-2.65
3 Si 0.8349 0.5292 0.8010  1 Rh 2.40, 4 Si 2.60-2.65
4 Rh 0.0000 0.2213 0.7787  6 Si 2.40-2.56
5 Nd 0.5000 0.5000 0.5000  12 Si 3.16-3.17, 4 Rh 3.44
6 Si 0.3757 0.9124 0.3362  3 Rh 2.54-2.56, 3 Si 2.60-2.62
7 Rh 0.5000 0.0000 0.0000  4 Si 2.54
8 Nd 0.1909 0.8091 0.8091  8 Si 3.01-3.05, 4 Rh 3.08-3.12
9 Si 0.3757 0.3362 0.9124  3 Rh 2.54-2.56, 3 Si 2.60-2.62
10 Rh 0.0000 0.7787 0.2213  6 Si 2.40-2.56
11 Si 0.1651 0.4708 0.1990  1 Rh 2.40, 4 Si 2.60-2.65
12 Nd 0.8091 0.1909 0.1909  8 Si 3.01-3.05, 4 Rh 3.08-3.12
13 Si 0.1651 0.1990 0.4708  1 Rh 2.40, 4 Si 2.60-2.65
14 Si 0.6243 0.0876 0.6638  3 Rh 2.54-2.56, 3 Si 2.60-2.62

Values from the calculation:
magnetic moment: 0.00 μB/atom
E: -0.46394 Ry/atom
formation energy from raw total energies: -0.62 eV per atom
calculated volume: 17.31 A^3/atom
energy above the lowest structure with this stoichiometry: 63.3 meV per atom
Fermi-level density of states: 5.98 states/eV/f.u.



Record 6
This record from the Alexandria database describes a relaxed NdSi2Rh6 crystal. The functional is PBE.

Unit cell a=7.7622 b=7.7622 c=7.7622 alpha=60.00 beta=60.00 gamma=60.00
Last column: nearest neighbours and their distance in Å.
Element x y z (fractional)
1 Si 0.1250 0.1250 0.1250  6 Rh 2.34
2 Rh 0.7558 0.2442 0.2442  2 Si 2.34
3 Rh 0.4942 0.0058 0.4942  2 Si 2.34
4 Rh 0.2442 0.7558 0.2442  2 Si 2.34
5 Nd 0.7500 0.7500 0.7500  6 Rh 2.81
6 Rh 0.0058 0.4942 0.0058  2 Si 2.34
7 Rh 0.0058 0.4942 0.4942  2 Si 2.34
8 Rh 0.4942 0.0058 0.0058  2 Si 2.34
9 Si 0.1250 0.6250 0.1250  6 Rh 2.34
10 Si 0.6250 0.1250 0.1250  6 Rh 2.34
11 Si 0.1250 0.1250 0.6250  6 Rh 2.34
12 Rh 0.2442 0.2442 0.7558  2 Si 2.34
13 Rh 0.4942 0.4942 0.0058  2 Si 2.34
14 Rh 0.7558 0.7558 0.2442  2 Si 2.34
15 Rh 0.0058 0.0058 0.4942  2 Si 2.34
16 Nd 0.5000 0.5000 0.5000  6 Rh 2.81
17 Rh 0.7558 0.2442 0.7558  2 Si 2.34
18 Rh 0.2442 0.7558 0.7558  2 Si 2.34

Values from the calculation:
magnetic moment: 0.00 μB/atom
E: -0.50082 Ry/atom
formation energy from raw total energies: -0.18 eV per atom
calculated volume: 18.37 A^3/atom
Fermi-level density of states: 9.46 states/eV/f.u.



Record 7
This record from the Alexandria database describes a relaxed Nd4Si3Rh crystal. The functional is PBE.

Unit cell a=4.3872 b=3.9751 c=11.0555 alpha=90.00 beta=90.00 gamma=90.00
Last column: nearest neighbours and their distance in Å.
Element x y z (fractional)
1 Nd 0.0000 0.5000 0.8583  5 Si 3.07-3.19, 2 Rh 3.21
2 Si 0.0000 0.5000 0.5701  2 Si 2.50
3 Nd 0.0000 0.0000 0.1363  4 Rh 3.05, 3 Si 3.15-3.28
4 Si 0.5000 0.0000 0.9319  2 Rh 2.51
5 Si 0.0000 0.0000 0.4328  2 Si 2.50
6 Nd 0.5000 0.5000 0.3562  6 Si 3.08-3.23, 1 Rh 3.16
7 Nd 0.5000 0.0000 0.6437  7 Si 3.07-3.20
8 Rh 0.5000 0.5000 0.0708  2 Si 2.51

Values from the calculation:
magnetic moment: 0.04 μB/atom
E: -0.44610 Ry/atom
formation energy from raw total energies: -0.73 eV per atom
calculated volume: 24.10 A^3/atom
Fermi-level density of states: 7.95 states/eV/f.u.



Record 8
This record from the Alexandria database describes a relaxed Nd3SiRh3 crystal. The functional is PBE.

Unit cell a=4.0780 b=5.7477 c=14.1988 alpha=85.64 beta=81.74 gamma=69.22
Last column: nearest neighbours and their distance in Å.
Element x y z (fractional)
1 Nd 0.3948 0.2845 0.9260  7 Rh 2.94-3.19
2 Nd 0.4826 0.6536 0.3812  5 Rh 3.00-3.13, 3 Si 3.07-3.08
3 Rh 0.1226 0.8308 0.9239  2 Rh 2.84-2.86, 7 Nd 2.94-3.18
4 Rh 0.9584 0.8427 0.2404  1 Si 2.48
5 Rh 0.1737 0.1877 0.4649  3 Si 2.38-2.47
6 Rh 0.8263 0.8123 0.5351  3 Si 2.38-2.47
7 Si 0.2343 0.9205 0.6109  4 Rh 2.38-2.48
8 Rh 0.0416 0.1573 0.7596  1 Si 2.48
9 Si 0.7657 0.0795 0.3891  4 Rh 2.38-2.48
10 Rh 0.8774 0.1692 0.0761  2 Rh 2.84-2.86, 7 Nd 2.94-3.18
11 Nd 0.2592 0.2585 0.2231  5 Rh 2.95-3.16, 2 Si 3.23
12 Nd 0.7408 0.7415 0.7769  5 Rh 2.95-3.16, 2 Si 3.23
13 Nd 0.5174 0.3464 0.6188  5 Rh 3.00-3.13, 3 Si 3.07-3.08
14 Nd 0.6052 0.7155 0.0740  7 Rh 2.94-3.19

Values from the calculation:
magnetic moment: 0.00 μB/atom
E: -0.49718 Ry/atom
formation energy from raw total energies: -0.80 eV per atom
calculated volume: 21.99 A^3/atom
Fermi-level density of states: 3.72 states/eV/f.u.



Look up the E of the first one.
-0.44774 Ry/atom